Record 1
Entry from Alexandria via LeMat-Bulk: crystalline TbPrGaPd at its relaxed geometry (PBE).

Values from the calculation:
Final energy ... -5.03 eV/atom
Size of the total moment ... 0.0 μB/cell
N(E_F) ... 3.9 states/eV/f.u.
Excess energy over the best structure of this formula in the dataset ... 0.22 eV per formula unit
Energy of formation from the pure elements ... -624 meV/atom

Unit cell a=5.1439 b=5.1439 c=5.1439 alpha=60.00 beta=60.00 gamma=60.00
With the nearest neighbours (Å) after each atom.
Atoms (fractional coordinates):
Pd 0.7500 0.7500 0.7500  4 Pr 3.15, 4 Tb 3.15
Pr 0.5000 0.5000 0.5000  4 Pd 3.15, 4 Ga 3.15
Ga 0.2500 0.2500 0.2500  4 Tb 3.15, 4 Pr 3.15
Tb 0.0000 0.0000 0.0000  4 Pd 3.15, 4 Ga 3.15

=====

Record 2
Entry from Alexandria via LeMat-Bulk: crystalline TbPr2Ga3Pd4 at its relaxed geometry (PBE).

Values from the calculation:
Final energy ... -5.19 eV/atom
Size of the total moment ... 0.0 μB/cell
N(E_F) ... 7.5 states/eV/f.u.
Energy of formation from the pure elements ... -790 meV/atom

Unit cell a=4.3287 b=4.3287 c=11.2711 alpha=90.00 beta=90.00 gamma=90.00
With the nearest neighbours (Å) after each atom.
Atoms (fractional coordinates):
Pr 0.0000 0.5000 0.7737  4 Ga 3.29, 8 Pd 3.33-3.34
Ga 0.0000 0.0000 0.5000  4 Pd 2.79, 4 Tb 3.06
Pd 0.0000 0.0000 0.0000  4 Ga 2.55
Pd 0.5000 0.0000 0.6569  3 Ga 2.52-2.79, 2 Tb 2.79
Ga 0.0000 0.5000 0.1197  5 Pd 2.52-2.55
Ga 0.5000 0.0000 0.8803  5 Pd 2.52-2.55
Tb 0.5000 0.5000 0.5000  4 Pd 2.79, 4 Ga 3.06
Pr 0.5000 0.0000 0.2263  4 Ga 3.29, 8 Pd 3.33-3.34
Pd 0.0000 0.5000 0.3431  3 Ga 2.52-2.79, 2 Tb 2.79
Pd 0.5000 0.5000 0.0000  4 Ga 2.55

=====

Record 3
Entry from Alexandria via LeMat-Bulk: crystalline TbPrGaPd at its relaxed geometry (PBE).

Values from the calculation:
Final energy ... -5.09 eV/atom
Size of the total moment ... 0.0 μB/cell
N(E_F) ... 4.3 states/eV/f.u.
Excess energy over the best structure of this formula in the dataset ... 0.00 eV per formula unit
Energy of formation from the pure elements ... -680 meV/atom

Unit cell a=3.8981 b=4.4576 c=6.0045 alpha=90.00 beta=108.94 gamma=90.00
With the nearest neighbours (Å) after each atom.
Atoms (fractional coordinates):
Pr 0.1461 0.0000 0.2922  4 Ga 3.08, 3 Pd 3.15-3.20
Ga 0.5701 0.5000 0.1402  2 Pd 2.79, 2 Tb 3.07, 4 Pr 3.08
Pd 0.4230 0.0000 0.8460  2 Ga 2.79, 4 Tb 3.04
Tb 0.8608 0.5000 0.7217  4 Pd 3.04, 3 Ga 3.07-3.30

=====

Record 4
Entry from Alexandria via LeMat-Bulk: crystalline Pr2TiGa4Pd3 at its relaxed geometry (PBE).

Values from the calculation:
Final energy ... -5.21 eV/atom
Size of the total moment ... 0.0 μB/cell
N(E_F) ... 6.2 states/eV/f.u.
Energy of formation from the pure elements ... -695 meV/atom

Unit cell a=4.2323 b=4.2323 c=11.1054 alpha=90.00 beta=90.00 gamma=90.00
With the nearest neighbours (Å) after each atom.
Atoms (fractional coordinates):
Pr 0.5000 0.0000 0.2484  8 Ga 3.23-3.48, 6 Pd 3.27-3.50, 2 Ti 3.50
Pd 0.0000 0.5000 0.1297  5 Ga 2.53-2.56
Ga 0.5000 0.0000 0.6423  3 Pd 2.53-2.64, 2 Ti 2.64
Pd 0.5000 0.0000 0.8703  5 Ga 2.53-2.56
Ga 0.5000 0.5000 0.0000  4 Pd 2.56
Pr 0.0000 0.5000 0.7516  8 Ga 3.23-3.48, 6 Pd 3.27-3.50, 2 Ti 3.50
Ga 0.0000 0.0000 0.0000  4 Pd 2.56
Ti 0.5000 0.5000 0.5000  4 Ga 2.64
Ga 0.0000 0.5000 0.3577  3 Pd 2.53-2.64, 2 Ti 2.64
Pd 0.0000 0.0000 0.5000  4 Ga 2.64

=====

Record 5
Entry from Alexandria via LeMat-Bulk: crystalline Pr2TmGa4Pd3 at its relaxed geometry (PBE).

Values from the calculation:
Final energy ... -4.90 eV/atom
Size of the total moment ... 0.0 μB/cell
N(E_F) ... 7.7 states/eV/f.u.
Energy of formation from the pure elements ... -732 meV/atom

Unit cell a=4.2541 b=4.2541 c=11.7046 alpha=90.00 beta=90.00 gamma=90.00
With the nearest neighbours (Å) after each atom.
Atoms (fractional coordinates):
Ga 0.0000 0.0000 0.0000  4 Pd 2.56
Pd 0.0000 0.5000 0.1225  5 Ga 2.49-2.56
Tm 0.5000 0.5000 0.5000  4 Ga 2.87, 4 Pd 3.01
Pr 0.5000 0.0000 0.2282  4 Pd 3.25, 8 Ga 3.26-3.41
Ga 0.0000 0.5000 0.3351  1 Pd 2.49
Pd 0.5000 0.0000 0.8775  5 Ga 2.49-2.56
Pr 0.0000 0.5000 0.7718  4 Pd 3.25, 8 Ga 3.26-3.41
Ga 0.5000 0.5000 0.0000  4 Pd 2.56
Pd 0.0000 0.0000 0.5000  4 Ga 2.87, 4 Tm 3.01
Ga 0.5000 0.0000 0.6649  1 Pd 2.49

=====

Record 6
Entry from Alexandria via LeMat-Bulk: crystalline PrYGa2Pd5 at its relaxed geometry (PBE).

Values from the calculation:
Final energy ... -5.58 eV/atom
Size of the total moment ... 0.0 μB/cell
N(E_F) ... 5.6 states/eV/f.u.
Energy of formation from the pure elements ... -770 meV/atom

Unit cell a=4.2634 b=4.2634 c=9.3027 alpha=90.00 beta=90.00 gamma=90.00
With the nearest neighbours (Å) after each atom.
Atoms (fractional coordinates):
Ga 0.5000 0.5000 0.8668  1 Ga 2.48, 4 Pd 2.49
Y 0.0000 0.0000 0.0000  8 Ga 3.26, 8 Pd 3.30
Pd 0.5000 0.5000 0.5000  8 Pd 3.01, 4 Pr 3.01
Pd 0.5000 0.0000 0.2710  2 Ga 2.49
Ga 0.5000 0.5000 0.1332  1 Ga 2.48, 4 Pd 2.49
Pr 0.0000 0.0000 0.5000  12 Pd 3.01
Pd 0.0000 0.5000 0.7290  2 Ga 2.49
Pd 0.0000 0.5000 0.2710  2 Ga 2.49
Pd 0.5000 0.0000 0.7290  2 Ga 2.49

=====

Record 7
Entry from Alexandria via LeMat-Bulk: crystalline PrYGaPd at its relaxed geometry (PBE).

Values from the calculation:
Final energy ... -5.55 eV/atom
Size of the total moment ... 0.0 μB/cell
N(E_F) ... 4.3 states/eV/f.u.
Excess energy over the best structure of this formula in the dataset ... 0.00 eV per formula unit
Energy of formation from the pure elements ... -689 meV/atom

Unit cell a=3.9027 b=4.4965 c=5.9483 alpha=90.00 beta=109.15 gamma=90.00
With the nearest neighbours (Å) after each atom.
Atoms (fractional coordinates):
Pr 0.1452 0.0000 0.2903  4 Ga 3.09, 3 Pd 3.13-3.16
Ga 0.5708 0.5000 0.1416  2 Pd 2.79, 2 Y 3.07, 4 Pr 3.09
Y 0.8603 0.5000 0.7205  4 Pd 3.06, 3 Ga 3.07-3.25
Pd 0.4237 0.0000 0.8475  2 Ga 2.79, 4 Y 3.06

=====

Record 8
Entry from Alexandria via LeMat-Bulk: crystalline PrYGa2Pd2 at its relaxed geometry (PBE).

Values from the calculation:
Final energy ... -5.45 eV/atom
Size of the total moment ... 0.0 μB/cell
N(E_F) ... 4.6 states/eV/f.u.
Energy of formation from the pure elements ... -832 meV/atom

Unit cell a=4.5232 b=4.5232 c=7.1822 alpha=90.00 beta=90.00 gamma=120.00
With the nearest neighbours (Å) after each atom.
Atoms (fractional coordinates):
Ga 0.3333 0.6667 0.2703  3 Pd 2.61
Pd 0.6667 0.3333 0.2735  3 Ga 2.61
Ga 0.6667 0.3333 0.7297  3 Pd 2.61
Pr 0.0000 0.0000 0.0000  6 Ga 3.25, 6 Pd 3.27, 2 Y 3.59
Pd 0.3333 0.6667 0.7265  3 Ga 2.61
Y 0.0000 0.0000 0.5000  6 Pd 3.08, 6 Ga 3.09

=====

- The highest energy of formation from the pure elements belongs to which entry?
  number 1